# 1
Density functional theory data (GGA-PBEsol) for crystalline Zr5Si3 at its relaxed geometry.

a b c (Å): 5.5049 7.9255 7.9255
angles (deg): 120.00 90.00 90.00
Last column: nearest neighbours and their distance in Å.
Atoms (fractional coordinates):
1 Si 0.7500 0.3900 0.3900  9 Zr 2.72-2.96
2 Si 0.7500 0.0000 0.6100  9 Zr 2.72-2.96
3 Si 0.7500 0.6100 0.0000  9 Zr 2.72-2.96
4 Si 0.2500 0.6100 0.6100  9 Zr 2.72-2.96
5 Si 0.2500 0.0000 0.3900  9 Zr 2.72-2.96
6 Si 0.2500 0.3900 0.0000  9 Zr 2.72-2.96
7 Zr 0.0000 0.6667 0.3333  2 Zr 2.75, 6 Si 2.81
8 Zr 0.5000 0.3333 0.6667  2 Zr 2.75, 6 Si 2.81
9 Zr 0.0000 0.3333 0.6667  2 Zr 2.75, 6 Si 2.81
10 Zr 0.5000 0.6667 0.3333  2 Zr 2.75, 6 Si 2.81
11 Zr 0.7500 0.7466 0.7466  5 Si 2.72-2.96
12 Zr 0.7500 0.0000 0.2534  5 Si 2.72-2.96
13 Zr 0.7500 0.2534 0.0000  5 Si 2.72-2.96
14 Zr 0.2500 0.2534 0.2534  5 Si 2.72-2.96
15 Zr 0.2500 0.0000 0.7466  5 Si 2.72-2.96
16 Zr 0.2500 0.7466 0.0000  5 Si 2.72-2.96

Computed properties:
- uncorrected formation energy (eV/atom) = -0.88
- M_tot (μB/f.u.) = 0.000
- distance to the lowest polymorph of the same formula (meV per atom) = 0
- symmetry = P6_3/mcm, No. 193
- volume (Å³ per atom) = 18.72

# 2
Density functional theory data (GGA-PBEsol) for crystalline KYPdAu2 at its relaxed geometry.

a b c (Å): 5.1030 5.4629 5.4629
angles (deg): 90.00 90.00 90.00
Last column: nearest neighbours and their distance in Å.
Atoms (fractional coordinates):
1 Y 0.0000 0.0000 0.0000  2 Pd 2.55, 4 Au 2.73
2 K 0.5000 0.5000 0.5000  8 Au 3.74, 4 Pd 3.86
3 Au 0.0000 0.0000 0.5000  2 Y 2.73
4 Au 0.0000 0.5000 0.0000  2 Y 2.73
5 Pd 0.5000 0.0000 0.0000  2 Y 2.55

Computed properties:
- energy of formation (meV per atom) = 156
- M_tot (μB/f.u.) = 0.000
- symmetry = P4/mmm, No. 123
- volume (Å³ per atom) = 30.46